1.
DFT (GGA-PBE) results for NaCaGa2Co after structural relaxation.

Lattice parameters (Å, degrees): 4.692 4.692 5.087 90.00 90.00 90.00
Sites, in units of the cell vectors:
Na: 0.500 0.500 0.500
Ca: 0.000 0.000 0.500
Co: 0.000 0.000 0.000
Ga: 0.000 0.500 0.000
Ga: 0.500 0.000 0.000

Values from the calculation:
V (Å³ per cell): 112
Total magnetic moment (μB/f.u.): 0.000
Total DFT energy (no corrections) (eV per atom): -3.4251
Crystal system: tetragonal
SG: P4/mmm
Density of states at the Fermi level (states/eV/cell): 3.06
E_form (eV per atom): -0.1291

---

2.
DFT (GGA-PBE) results for Sn5Te12I3 after structural relaxation.

Lattice parameters (Å, degrees): 16.459 16.459 16.459 109.47 109.47 109.47
Sites, in units of the cell vectors:
I: 0.750 0.375 0.125
I: 0.875 0.750 0.125
I: 0.375 0.750 0.625
I: 0.250 0.125 0.375
I: 0.875 0.125 0.250
I: 0.375 0.625 0.250
I: 0.625 0.375 0.750
I: 0.125 0.875 0.750
I: 0.750 0.875 0.625
I: 0.625 0.250 0.375
I: 0.125 0.250 0.875
I: 0.250 0.625 0.875
Sn: 0.125 0.375 0.250
Sn: 0.000 0.500 0.000
Sn: 0.000 0.000 0.000
Sn: 0.375 0.250 0.125
Sn: 0.500 0.000 0.500
Sn: 0.500 0.500 0.000
Sn: 0.125 0.750 0.375
Sn: 0.750 0.125 0.875
Sn: 0.750 0.625 0.375
Sn: 0.375 0.125 0.750
Sn: 0.625 0.875 0.250
Sn: 0.500 0.500 0.500
Sn: 0.500 0.000 0.000
Sn: 0.000 0.000 0.500
Sn: 0.250 0.375 0.625
Sn: 0.250 0.875 0.125
Sn: 0.000 0.500 0.500
Sn: 0.875 0.250 0.625
Sn: 0.625 0.750 0.875
Sn: 0.875 0.625 0.750
Te: 0.716 0.071 0.018
Te: 0.302 0.518 0.447
Te: 0.982 0.429 0.284
Te: 0.518 0.216 0.071
Te: 0.645 0.716 0.698
Te: 0.982 0.553 0.198
Te: 0.302 0.784 0.355
Te: 0.053 0.855 0.071
Te: 0.553 0.982 0.698
Te: 0.716 0.645 0.198
Te: 0.784 0.482 0.429
Te: 0.802 0.947 0.018
Te: 0.071 0.716 0.518
Te: 0.429 0.447 0.145
Te: 0.145 0.947 0.429
Te: 0.355 0.071 0.553
Te: 0.145 0.198 0.216
Te: 0.482 0.698 0.053
Te: 0.802 0.855 0.284
Te: 0.071 0.355 0.053
Te: 0.429 0.982 0.784
Te: 0.553 0.571 0.355
Te: 0.947 0.802 0.518
Te: 0.784 0.302 0.855
Te: 0.447 0.429 0.645
Te: 0.053 0.198 0.482
Te: 0.216 0.698 0.145
Te: 0.198 0.145 0.716
Te: 0.571 0.018 0.216
Te: 0.929 0.645 0.947
Te: 0.518 0.302 0.947
Te: 0.645 0.929 0.447
Te: 0.855 0.802 0.784
Te: 0.855 0.053 0.571
Te: 0.929 0.284 0.482
Te: 0.198 0.053 0.982
Te: 0.571 0.553 0.855
Te: 0.447 0.018 0.302
Te: 0.284 0.355 0.802
Te: 0.216 0.518 0.571
Te: 0.947 0.145 0.929
Te: 0.698 0.216 0.645
Te: 0.482 0.784 0.929
Te: 0.018 0.447 0.802
Te: 0.355 0.284 0.302
Te: 0.018 0.571 0.716
Te: 0.698 0.482 0.553
Te: 0.284 0.929 0.982

Values from the calculation:
V (Å³ per cell): 3432
Total magnetic moment (μB/f.u.): 0.000
Total DFT energy (no corrections) (eV per atom): -3.0242
Energy relative to the elements, uncorrected (eV/atom): 0.0940
Crystal system: cubic
SG: Ia-3d
Density of states at the Fermi level (states/eV/cell): 48.18

---

3.
DFT (GGA-PBE) results for Ni3Mo after structural relaxation.

Lattice parameters (Å, degrees): 4.532 4.532 4.532 90.00 90.00 90.00
Sites, in units of the cell vectors:
Mo: 0.000 0.000 0.000
Ni: 0.500 0.000 0.000
Ni: 0.000 0.500 0.000
Ni: 0.000 0.000 0.500

Values from the calculation:
V (Å³ per cell): 93
Total magnetic moment (μB/f.u.): 0.000
Total DFT energy (no corrections) (eV per atom): -5.1425
Crystal system: cubic
SG: Pm-3m
Density of states at the Fermi level (states/eV/cell): 3.59
E_form (eV per atom): 1.9012

---

4.
DFT (GGA-PBE) results for SrThGa2Pd5 after structural relaxation.

Lattice parameters (Å, degrees): 4.440 4.440 8.910 90.00 90.00 90.00
Sites, in units of the cell vectors:
Sr: 0.000 0.000 0.500
Th: 0.000 0.000 0.000
Ga: 0.500 0.500 0.142
Ga: 0.500 0.500 0.858
Pd: 0.000 0.500 0.264
Pd: 0.500 0.000 0.264
Pd: 0.000 0.500 0.736
Pd: 0.500 0.000 0.736
Pd: 0.500 0.500 0.500

Values from the calculation:
V (Å³ per cell): 176
Total magnetic moment (μB/f.u.): 0.000
Total DFT energy (no corrections) (eV per atom): -5.2168
Crystal system: tetragonal
SG: P4/mmm
Density of states at the Fermi level (states/eV/cell): 5.84
E_form (eV per atom): -0.6480